Compound: PrNdZn6Ge3
Source: OQMD
Functional: PBE-GGA
Structure: optimized geometry

abc: 4.1117 13.2938 7.6738
angles: 90.00 90.00 90.00
Fractional positions:
Pr 0.0000 0.0834 0.0000
Pr 0.0000 0.9166 0.5000
Nd 0.0000 0.4167 0.0000
Nd 0.0000 0.5833 0.5000
Zn 0.0000 0.1556 0.4056
Zn 0.0000 0.2501 0.6889
Zn 0.0000 0.3445 0.4055
Zn 0.0000 0.6555 0.9055
Zn 0.0000 0.7499 0.1889
Zn 0.0000 0.8444 0.9056
Zn 0.5000 0.1053 0.6447
Zn 0.5000 0.2501 0.2104
Zn 0.5000 0.3948 0.6448
Zn 0.5000 0.6052 0.1448
Zn 0.5000 0.7499 0.7104
Zn 0.5000 0.8947 0.1447
Ge 0.5000 0.0595 0.3095
Ge 0.5000 0.2503 0.8812
Ge 0.5000 0.4407 0.3093
Ge 0.5000 0.5593 0.8093
Ge 0.5000 0.7497 0.3812
Ge 0.5000 0.9405 0.8095

Output
Raw total energy: -0.1191 hartree per atom
V: 419 Å³/cell
Calculated density: 7.1 g/cm3